(1)
This record from the Open Quantum Materials Database describes an optimized crystal structure of PuNbZn. The functional is PBE-GGA.

abc: 4.561 4.561 4.561
angles: 60.00 60.00 60.00
Last column: magnetic moment on the atom in μB.
Fractional positions:
1 Zn 0.000 0.000 0.000  0.01
2 Pu 0.750 0.750 0.750  5.10
3 Nb 0.250 0.250 0.250  0.20

Output
Relative energy among the computed polymorphs (eV/atom): 0.000
Volume (A^3/atom): 22.360

(2)
This record from the Open Quantum Materials Database describes an optimized crystal structure of LiLu2Pt. The functional is PBE-GGA.

abc: 4.133 4.133 12.554
angles: 90.00 90.00 120.00
Fractional positions:
1 Li 0.667 0.333 0.250
2 Lu 0.667 0.333 0.611
3 Li 0.333 0.667 0.750
4 Pt 0.000 0.000 0.750
5 Lu 0.333 0.667 0.111
6 Pt 0.000 0.000 0.250
7 Lu 0.667 0.333 0.889
8 Lu 0.333 0.667 0.389

Output
DFT total energy (eV/atom): -4.737
Volume (A^3/atom): 23.219

(3)
This record from the Open Quantum Materials Database describes an optimized crystal structure of Er4B3C4. The functional is PBE-GGA.

abc: 3.464 3.561 11.833
angles: 92.62 96.19 90.16
Fractional positions:
1 C 0.312 0.528 0.668
2 Er 0.805 0.025 0.650
3 B 0.000 0.000 0.000
4 B 0.266 0.507 0.540
5 Er 0.615 0.446 0.140
6 B 0.734 0.493 0.460
7 Er 0.195 0.975 0.350
8 C 0.888 0.063 0.879
9 Er 0.385 0.554 0.860
10 C 0.112 0.937 0.121
11 C 0.688 0.472 0.332

Output
DFT total energy (eV/atom): -7.331
Volume (A^3/atom): 13.177

(4)
This record from the Open Quantum Materials Database describes an optimized crystal structure of CsTb2CuTe3Se. The functional is PBE-GGA.

abc: 7.971 7.971 15.568
angles: 90.00 90.00 148.42
Fractional positions:
1 Te 0.428 0.572 0.250
2 Cu 0.833 0.167 0.250
3 Se 0.000 0.000 0.000
4 Cs 0.885 0.115 0.750
5 Tb 0.376 0.624 0.440
6 Te 0.572 0.428 0.750
7 Te 0.258 0.742 0.606
8 Tb 0.624 0.376 0.560
9 Te 0.742 0.258 0.106
10 Te 0.742 0.258 0.394
11 Tb 0.376 0.624 0.060
12 Cs 0.115 0.885 0.250
13 Te 0.258 0.742 0.894
14 Cu 0.167 0.833 0.750
15 Se 0.000 0.000 0.500
16 Tb 0.624 0.376 0.940

Output
Relative energy among the computed polymorphs (eV/atom): 0.030
Volume (A^3/atom): 32.376

(5)
This record from the Open Quantum Materials Database describes an optimized crystal structure of La4Pr4S3. The functional is PBE-GGA.

abc: 10.073 9.096 9.096
angles: 22.89 90.00 90.00
Fractional positions:
1 La 0.230 0.232 0.232
2 S 0.740 0.595 0.595
3 Pr 0.500 0.349 0.349
4 S 0.000 0.733 0.733
5 Pr 0.733 0.951 0.951
6 S 0.260 0.595 0.595
7 La 0.770 0.232 0.232
8 La 0.500 0.096 0.096
9 Pr 0.000 0.377 0.377
10 Pr 0.267 0.951 0.951
11 La 0.000 0.084 0.084

Output
DFT total energy (eV/atom): -5.503
Volume (A^3/atom): 29.465

(6)
This record from the Open Quantum Materials Database describes an optimized crystal structure of PaBOs. The functional is PBE-GGA.

abc: 4.377 4.377 4.377
angles: 60.00 60.00 60.00
Fractional positions:
1 B 0.250 0.250 0.250
2 Pa 0.000 0.000 0.000
3 Os 0.750 0.750 0.750

Output
Relative energy among the computed polymorphs (eV/atom): 0.897
Volume (A^3/atom): 19.768

(7)
This record from the Open Quantum Materials Database describes an optimized crystal structure of ScAlAu. The functional is PBE-GGA.

abc: 4.478 4.478 4.478
angles: 60.00 60.00 60.00
Fractional positions:
1 Al 0.250 0.250 0.250
2 Au 0.000 0.000 0.000
3 Sc 0.750 0.750 0.750

Output
DFT total energy (eV/atom): -5.039
Volume (A^3/atom): 21.159

(8)
This record from the Open Quantum Materials Database describes an optimized crystal structure of MgZrFeSb. The functional is PBE-GGA.

abc: 4.650 4.650 4.650
angles: 60.00 60.00 60.00
Fractional positions:
1 Mg 0.250 0.250 0.250
2 Zr 0.500 0.500 0.500
3 Fe 0.750 0.750 0.750
4 Sb 0.000 0.000 0.000

Output
Relative energy among the computed polymorphs (eV/atom): 0.000
Volume (A^3/atom): 17.772